Here is crystalline Be2As at its relaxed geometry from Alexandria. Energies are from GGA-PBE.

Properties
The calculation puts the density of states at the Fermi level at 0.676 states/eV/f.u. The calculated density comes out at 4.09 g/cm³. As for the volume: 38 Å³/f.u. The formation energy comes out at 1.41 eV/f.u. The value obtained for the total moment is 0.00 μB/cell. The value obtained for the relative energy among the computed polymorphs is 364 meV/atom.

Cell: 3.1498 3.2795 14.6177 Å, 90.00 90.00 90.00°
Last column: nearest neighbours and their distance in Å.
Space group Imma (No. 74)
Symmetry-distinct sites (fractional):
Be 0.0000 0.2500 0.0510 (multiplicity 4)  3 Be 2.11-2.22
Be 0.0000 0.2500 0.1954 (multiplicity 4)  3 Be 2.11-2.24
As 0.0000 0.2500 0.6212 (multiplicity 4)  8 Be 2.49-2.52